First-principles (PBE) data for a geometry-optimized K2CaMgI6 structure, as listed in the Alexandria database.

Unit cell a=8.417 b=8.417 c=6.344 alpha=90.00 beta=90.00 gamma=90.00
Space group P4mm (No. 99)
Inequivalent atoms, fractional coordinates:
K 0.000 0.500 0.000 [2 per cell]
Ca 0.000 0.000 0.608 [1 per cell]
Mg 0.500 0.500 0.567 [1 per cell]
I 0.000 0.000 0.119 [1 per cell]
I 0.259 0.259 0.650 [4 per cell]
I 0.500 0.500 0.134 [1 per cell]

Results
For the total energy, the calculation gives -2.8196 eV per atom.

=====

First-principles (PBE) data for a geometry-optimized NiAg5Br8 structure, as listed in the Alexandria database.

Unit cell a=8.893 b=8.893 c=12.435 alpha=90.00 beta=90.00 gamma=90.00
Space group I-4 (No. 82)
Inequivalent atoms, fractional coordinates:
Ni 0.000 0.000 0.000 [2 per cell]
Ag 0.000 0.500 0.250 [2 per cell]
Ag 0.224 0.225 0.500 [8 per cell]
Br 0.000 0.224 0.897 [8 per cell]
Br 0.001 0.762 0.361 [8 per cell]

Results
For the total energy, the calculation gives -2.6634 eV per atom.

=====

First-principles (PBE) data for a geometry-optimized LaTa2V structure, as listed in the Alexandria database.

Unit cell a=6.776 b=6.776 c=6.776 alpha=90.00 beta=90.00 gamma=90.00
Space group Fm-3m (No. 225)
Inequivalent atoms, fractional coordinates:
La 0.000 0.000 0.000 [4 per cell]
Ta 0.250 0.250 0.250 [8 per cell]
V 0.000 0.000 0.500 [4 per cell]

Results
For the energy above the most stable polymorph in this dataset, the calculation gives 0 meV per atom. Its formation energy is 604 meV/atom.

=====

First-principles (PBE) data for a geometry-optimized Er12TlNi5 structure, as listed in the Alexandria database.

Unit cell a=9.286 b=9.444 c=9.804 alpha=90.00 beta=90.00 gamma=90.00
Space group Immm (No. 71)
Inequivalent atoms, fractional coordinates:
Er 0.000 0.191 0.215 [8 per cell]
Er 0.195 0.500 0.178 [8 per cell]
Er 0.209 0.318 0.500 [8 per cell]
Tl 0.000 0.000 0.500 [2 per cell]
Ni 0.000 0.000 0.000 [2 per cell]
Ni 0.000 0.363 0.000 [4 per cell]
Ni 0.000 0.500 0.377 [4 per cell]

Results
Its formation energy is -350 meV/atom.

=====

First-principles (PBE) data for a geometry-optimized CuTeAs2 structure, as listed in the Alexandria database.

Unit cell a=5.467 b=10.404 c=3.952 alpha=90.00 beta=133.58 gamma=90.00
Space group C2/m (No. 12)
Inequivalent atoms, fractional coordinates:
Cu 0.000 0.000 0.000 [2 per cell]
Te 0.000 0.500 0.000 [2 per cell]
As 0.250 0.250 0.500 [4 per cell]

Results
For the total energy, the calculation gives -3.9343 eV per atom.

=====

- Number 1 is which compound?
  K2CaMgI6